[1]
Density functional theory data (SCAN) for a PBEsol-optimized structure of La3InCu.

Output
D(E_F) (states/eV per atom): 1.191
Formation energy (meV per atom): 580
SG: No. 221

Lattice parameters (Å, degrees): 5.9022 5.9022 5.9022 90.00 90.00 90.00
Last column: nearest neighbours and their distance in Å.
Sites, in units of the cell vectors:
La 0.0000 0.0000 0.5000  2 In 2.95
La 0.0000 0.5000 0.0000  2 In 2.95
La 0.5000 0.0000 0.0000  2 In 2.95
In 0.0000 0.0000 0.0000  6 La 2.95
Cu 0.5000 0.5000 0.5000  12 La 4.17

---

[2]
Density functional theory data (SCAN) for a PBEsol-optimized structure of Mn2IrRh.

Output
D(E_F) (states/eV per atom): 0.792
Formation energy (meV per atom): -297
SG: No. 44

Lattice parameters (Å, degrees): 2.8664 4.2222 8.6591 90.00 90.00 90.00
Last column: nearest neighbours and their distance in Å.
Sites, in units of the cell vectors:
Mn 0.0000 0.0000 0.0000  2 Ir 2.54, 2 Mn 2.55, 4 Rh 2.55
Mn 0.0000 0.5000 0.2570  2 Mn 2.55, 4 Ir 2.56, 2 Rh 2.57
Mn 0.5000 0.0000 0.7570  2 Mn 2.55, 4 Ir 2.56, 2 Rh 2.57
Mn 0.5000 0.5000 0.5000  2 Ir 2.54, 2 Mn 2.55, 4 Rh 2.55
Ir 0.0000 0.5000 0.7415  6 Mn 2.54-2.56, 2 Rh 2.74
Ir 0.5000 0.0000 0.2415  6 Mn 2.54-2.56, 2 Rh 2.74
Rh 0.0000 0.0000 0.5111  6 Mn 2.55-2.57, 2 Ir 2.74
Rh 0.5000 0.5000 0.0111  6 Mn 2.55-2.57, 2 Ir 2.74

---

[3]
Density functional theory data (SCAN) for a PBEsol-optimized structure of Ce3Si4Pd4.

Output
D(E_F) (states/eV per atom): 1.074
Uncorrected formation energy (eV per formula unit): -10.45
SG: No. 71

Lattice parameters (Å, degrees): 12.6815 12.6815 12.6815 161.99 161.14 26.20
Last column: nearest neighbours and their distance in Å.
Sites, in units of the cell vectors:
Ce 0.0000 0.0000 0.0000  8 Si 3.11, 4 Pd 3.11
Ce 0.3548 0.8548 0.5000  8 Pd 3.11-3.33, 6 Si 3.12
Ce 0.6452 0.1452 0.5000  8 Pd 3.11-3.33, 6 Si 3.12
Si 0.1948 0.6948 0.5000  5 Pd 2.41-2.48
Si 0.4523 0.4523 0.0000  1 Si 2.35, 2 Pd 2.41
Si 0.5477 0.5477 0.0000  1 Si 2.35, 2 Pd 2.41
Si 0.8052 0.3052 0.5000  5 Pd 2.41-2.48
Pd 0.0968 0.5968 0.5000  3 Si 2.41-2.42
Pd 0.2504 0.2504 0.0000  4 Si 2.41-2.48
Pd 0.7496 0.7496 0.0000  4 Si 2.41-2.48
Pd 0.9032 0.4032 0.5000  3 Si 2.41-2.42